! PBE Ni3SeN, optimized geometry; values from VASP
! - energy above the most stable polymorph in this dataset (meV per atom) = 0
! - raw formation energy (eV per atom) = 0.114
! - energy (eV/atom) = -5.72
! - density of states at the Fermi level (states/eV per cell) = 4.2
&SYSTEM
  ibrav = 0, nat = 5, ntyp = 3
/
ATOMIC_SPECIES
Ni 58.69 Ni.upf
Se 78.96 Se.upf
N 14.01 N.upf
CELL_PARAMETERS angstrom
3.8564 0.0000 0.0000
0.0000 3.8564 0.0000
0.0000 0.0000 3.8564
ATOMIC_POSITIONS angstrom
Ni 0.0000 1.9282 0.0000
Ni 0.0000 0.0000 1.9282
Ni 1.9282 0.0000 0.0000
Se 1.9282 1.9282 1.9282
N 0.0000 0.0000 0.0000

***

! PBE NiSe2N2, optimized geometry; values from VASP
! - energy above the most stable polymorph in this dataset (meV per atom) = 1721
! - raw formation energy (eV per atom) = 1.589
! - energy (eV/atom) = -4.29
! - density of states at the Fermi level (states/eV per cell) = 5.4
&SYSTEM
  ibrav = 0, nat = 5, ntyp = 3
/
ATOMIC_SPECIES
Ni 58.69 Ni.upf
Se 78.96 Se.upf
N 14.01 N.upf
CELL_PARAMETERS angstrom
-0.9593 -3.3437 0.9205
1.7580 -1.2921 -2.8615
5.7137 -0.5986 3.7806
ATOMIC_POSITIONS angstrom
Ni 3.2562 -2.6172 0.9198
Se 0.0000 0.0000 0.0000
Se 2.8569 -0.2993 1.8903
N 0.8790 -0.6460 -1.4307
N -0.4797 -1.6719 0.4602

***

! PBE NiSeN3, optimized geometry; values from VASP
! - raw formation energy (eV per atom) = 2.181
! - energy (eV/atom) = -4.67
! - density of states at the Fermi level (states/eV per cell) = 3.4
&SYSTEM
  ibrav = 0, nat = 5, ntyp = 3
/
ATOMIC_SPECIES
Ni 58.69 Ni.upf
Se 78.96 Se.upf
N 14.01 N.upf
CELL_PARAMETERS angstrom
-0.7706 -1.4806 -3.3239
3.5472 -1.0631 -0.3488
-0.8112 -3.2422 1.6322
ATOMIC_POSITIONS angstrom
Ni 0.9827 -2.8929 -1.0202
Se 0.0000 0.0000 0.0000
N 1.7736 -0.5315 -0.1744
N -0.4056 -1.6211 0.8161
N -0.3853 -0.7403 -1.6620

***

! PBE NiSe2N2, optimized geometry; values from VASP
! - energy above the most stable polymorph in this dataset (meV per atom) = 1338
! - raw formation energy (eV per atom) = 1.206
! - energy (eV/atom) = -4.67
! - density of states at the Fermi level (states/eV per cell) = 3.6
&SYSTEM
  ibrav = 0, nat = 5, ntyp = 3
/
ATOMIC_SPECIES
Ni 58.69 Ni.upf
Se 78.96 Se.upf
N 14.01 N.upf
CELL_PARAMETERS angstrom
3.5847 0.0000 0.0000
0.0000 3.5847 0.0000
0.0000 0.0000 7.7302
ATOMIC_POSITIONS angstrom
Ni 0.0000 0.0000 0.0000
Se 1.7924 1.7924 3.8651
Se 0.0000 0.0000 3.8651
N 0.0000 1.7924 0.0000
N 1.7924 0.0000 0.0000

***

! PBE Ni2SeN, optimized geometry; values from VASP
! - energy above the most stable polymorph in this dataset (meV per atom) = 0
! - raw formation energy (eV per atom) = 0.065
! - energy (eV/atom) = -5.78
! - density of states at the Fermi level (states/eV per cell) = 5.7
&SYSTEM
  ibrav = 0, nat = 8, ntyp = 3
/
ATOMIC_SPECIES
Ni 58.69 Ni.upf
Se 78.96 Se.upf
N 14.01 N.upf
CELL_PARAMETERS angstrom
-0.9364 2.4257 -3.7372
2.5887 -2.8119 -2.4737
-3.3417 -3.2203 -4.0261
ATOMIC_POSITIONS angstrom
Ni -0.9932 0.0904 -3.2368
Ni 0.5616 -1.9901 -3.4344
Ni -1.5994 -2.8720 -5.6231
Ni -1.3477 -2.4411 -8.1796
Se 0.0000 0.0000 0.0000
Se -1.7260 -0.4938 -5.4343
N 0.8262 -0.1931 -3.1055
N 0.0366 -3.1126 -4.8026

***

! PBE Ni2SeN, optimized geometry; values from VASP
! - energy above the most stable polymorph in this dataset (meV per atom) = 672
! - raw formation energy (eV per atom) = 0.736
! - energy (eV/atom) = -5.11
! - density of states at the Fermi level (states/eV per cell) = 1.9
&SYSTEM
  ibrav = 0, nat = 4, ntyp = 3
/
ATOMIC_SPECIES
Ni 58.69 Ni.upf
Se 78.96 Se.upf
N 14.01 N.upf
CELL_PARAMETERS angstrom
0.0000 2.8141 2.8141
2.8141 0.0000 2.8141
2.8141 2.8141 0.0000
ATOMIC_POSITIONS angstrom
Ni 1.4070 1.4070 1.4070
Ni 4.2211 4.2211 4.2211
Se 2.8141 2.8141 2.8141
N 0.0000 0.0000 0.0000

***

! PBE NiSe2N, optimized geometry; values from VASP
! - raw formation energy (eV per atom) = 0.647
! - energy (eV/atom) = -4.62
! - density of states at the Fermi level (states/eV per cell) = 3.8
&SYSTEM
  ibrav = 0, nat = 8, ntyp = 3
/
ATOMIC_SPECIES
Ni 58.69 Ni.upf
Se 78.96 Se.upf
N 14.01 N.upf
CELL_PARAMETERS angstrom
5.0927 0.0000 0.0000
0.0000 5.0927 0.0000
2.5463 2.5463 5.2929
ATOMIC_POSITIONS angstrom
Ni 0.0000 0.0000 0.0000
Ni 5.0927 2.5463 2.6465
Se 3.7434 1.2732 1.3232
Se 1.3493 3.8195 1.3232
Se 3.8195 3.8956 3.9697
Se 6.3659 6.2898 3.9697
N 2.5463 2.5463 0.0000
N 2.5463 5.0927 2.6465

***

! PBE NiSe2N2, optimized geometry; values from VASP
! - energy above the most stable polymorph in this dataset (meV per atom) = 1737
! - raw formation energy (eV per atom) = 1.604
! - energy (eV/atom) = -4.28
! - density of states at the Fermi level (states/eV per cell) = 2.8
&SYSTEM
  ibrav = 0, nat = 5, ntyp = 3
/
ATOMIC_SPECIES
Ni 58.69 Ni.upf
Se 78.96 Se.upf
N 14.01 N.upf
CELL_PARAMETERS angstrom
4.9009 0.0000 0.0000
0.0000 4.9009 0.0000
0.0000 0.0000 3.3480
ATOMIC_POSITIONS angstrom
Ni 0.0000 0.0000 0.0000
Se 0.0000 2.4505 0.0000
Se 2.4505 0.0000 0.0000
N 2.4505 2.4505 1.6740
N 0.0000 0.0000 1.6740

***

! PBE SiNiSe2N, optimized geometry; values from VASP
! - energy above the most stable polymorph in this dataset (meV per atom) = 155
! - raw formation energy (eV per atom) = 0.622
! - energy (eV/atom) = -4.68
! - density of states at the Fermi level (states/eV per cell) = 2.4
&SYSTEM
  ibrav = 0, nat = 5, ntyp = 4
/
ATOMIC_SPECIES
Ni 58.69 Ni.upf
Si 28.09 Si.upf
Se 78.96 Se.upf
N 14.01 N.upf
CELL_PARAMETERS angstrom
-4.2878 1.8400 1.6676
-1.8160 -4.5929 0.3983
1.1669 -0.1836 3.2031
ATOMIC_POSITIONS angstrom
Ni 0.0000 0.0000 0.0000
Si -2.4684 -1.4683 2.6345
Se -0.9080 -2.2964 0.1992
Se -2.1439 0.9200 0.8338
N 0.5835 -0.0918 1.6016

***

! PBE SiNiSe2N, optimized geometry; values from VASP
! - energy above the most stable polymorph in this dataset (meV per atom) = 0
! - raw formation energy (eV per atom) = 0.466
! - energy (eV/atom) = -4.83
! - density of states at the Fermi level (states/eV per cell) = 3.0
&SYSTEM
  ibrav = 0, nat = 5, ntyp = 4
/
ATOMIC_SPECIES
Ni 58.69 Ni.upf
Si 28.09 Si.upf
Se 78.96 Se.upf
N 14.01 N.upf
CELL_PARAMETERS angstrom
-3.7861 3.0436 1.3465
1.1075 -0.7711 4.8569
1.9996 2.5127 -0.0571
ATOMIC_POSITIONS angstrom
Ni -0.3395 2.3926 3.0732
Si 0.0000 0.0000 0.0000
Se 0.5538 -0.3855 2.4285
Se -1.8930 1.5218 0.6733
N 0.9998 1.2563 -0.0285

***

! PBE Sr2NiSeN, optimized geometry; values from VASP
! - raw formation energy (eV per atom) = -1.054
! - energy (eV/atom) = -5.25
! - density of states at the Fermi level (states/eV per cell) = 1.6
&SYSTEM
  ibrav = 0, nat = 5, ntyp = 4
/
ATOMIC_SPECIES
Sr 87.62 Sr.upf
N 14.01 N.upf
Se 78.96 Se.upf
Ni 58.69 Ni.upf
CELL_PARAMETERS angstrom
-1.4787 -3.4096 3.8729
1.8518 -4.1111 -2.9123
3.2788 0.3634 1.5718
ATOMIC_POSITIONS angstrom
Sr 0.9259 -2.0555 -1.4561
Sr -0.7393 -1.7048 1.9365
N 0.0000 0.0000 0.0000
Se 1.8259 -3.5786 1.2662
Ni 1.6394 0.1817 0.7859

***

! PBE TcNiSeN2, optimized geometry; values from VASP
! - energy above the most stable polymorph in this dataset (meV per atom) = 0
! - raw formation energy (eV per atom) = 0.723
! - energy (eV/atom) = -6.53
! - density of states at the Fermi level (states/eV per cell) = 4.5
&SYSTEM
  ibrav = 0, nat = 5, ntyp = 4
/
ATOMIC_SPECIES
Ni 58.69 Ni.upf
Tc 98.00 Tc.upf
Se 78.96 Se.upf
N 14.01 N.upf
CELL_PARAMETERS angstrom
-2.6060 2.6255 0.6617
-1.5649 -0.7110 -3.3418
-3.1977 -3.7525 2.2958
ATOMIC_POSITIONS angstrom
Ni -3.6843 -0.9190 -0.1921
Tc 0.0000 0.0000 0.0000
Se -1.5989 -1.8763 1.1479
N -0.7825 -0.3555 -1.6709
N -1.3030 1.3128 0.3309

***

! PBE TcNiSe2N, optimized geometry; values from VASP
! - energy above the most stable polymorph in this dataset (meV per atom) = 207
! - raw formation energy (eV per atom) = 0.826
! - energy (eV/atom) = -5.46
! - density of states at the Fermi level (states/eV per cell) = 4.5
&SYSTEM
  ibrav = 0, nat = 5, ntyp = 4
/
ATOMIC_SPECIES
Ni 58.69 Ni.upf
Tc 98.00 Tc.upf
Se 78.96 Se.upf
N 14.01 N.upf
CELL_PARAMETERS angstrom
-4.0362 -0.1627 -2.7468
1.0607 -4.5915 -1.2866
-1.7429 -1.1392 2.6286
ATOMIC_POSITIONS angstrom
Ni 0.0000 0.0000 0.0000
Tc -2.3592 -2.9467 -0.7024
Se 0.5304 -2.2958 -0.6433
Se -2.0181 -0.0814 -1.3734
N -0.8715 -0.5696 1.3143

***

! PBE TcNiSeN2, optimized geometry; values from VASP
! - energy above the most stable polymorph in this dataset (meV per atom) = 702
! - raw formation energy (eV per atom) = 1.425
! - energy (eV/atom) = -5.83
! - density of states at the Fermi level (states/eV per cell) = 3.3
&SYSTEM
  ibrav = 0, nat = 5, ntyp = 4
/
ATOMIC_SPECIES
Ni 58.69 Ni.upf
Tc 98.00 Tc.upf
Se 78.96 Se.upf
N 14.01 N.upf
CELL_PARAMETERS angstrom
3.6917 0.0000 0.0000
0.0000 3.6917 0.0000
0.0000 0.0000 5.0874
ATOMIC_POSITIONS angstrom
Ni 0.0000 0.0000 0.0000
Tc 1.8459 1.8459 2.5437
Se 0.0000 0.0000 2.5437
N 0.0000 1.8459 0.0000
N 1.8459 0.0000 0.0000

***

| no. | magnetic moment (μB/cell) |
| --- | --- |
| 1 | 0.0 |
| 2 | 1.0 |
| 3 | 2.4 |
| 4 | 0.4 |
| 5 | 0.0 |
| 6 | 0.0 |
| 7 | 0.0 |
| 8 | 1.0 |
| 9 | 0.0 |
| 10 | 0.0 |
| 11 | 0.4 |
| 12 | 0.9 |
| 13 | 1.9 |
| 14 | 0.2 |